#i
CsTbSeO | PBE | relaxed

SG = No. 129

Unit cell a=4.513 b=4.513 c=9.998 alpha=90.00 beta=90.00 gamma=90.00
Atoms (fractional coordinates):
Cs1 0.250 0.750 0.500
Tb1 0.250 0.250 0.066
O1 0.250 0.750 0.000
Cs2 0.750 0.250 0.500
O2 0.750 0.250 0.000
Tb2 0.750 0.750 0.934
Se1 0.750 0.750 0.247
Se2 0.250 0.250 0.753



#ii
CsTbSeO | PBE | relaxed

SG = No. 14

Unit cell a=8.479 b=7.519 c=6.794 alpha=90.00 beta=101.25 gamma=90.00
Atoms (fractional coordinates):
O1 0.585 0.146 0.616
Tb1 0.519 0.871 0.717
Tb2 0.481 0.371 0.783
Cs1 0.089 0.716 0.976
Cs2 0.911 0.284 0.024
O2 0.415 0.854 0.384
O3 0.415 0.646 0.884
Se1 0.265 0.405 0.371
Tb3 0.519 0.629 0.217
Cs3 0.089 0.784 0.476
Tb4 0.481 0.129 0.283
Se2 0.265 0.095 0.871
Se3 0.735 0.595 0.629
Cs4 0.911 0.216 0.524
Se4 0.735 0.905 0.129
O4 0.585 0.354 0.116



So which one is most stable? That would be #ii, about 37.8 kJ/mol of atoms below the next structure.



#i
Cs2Tc2O5 | PBE | relaxed

SG = No. 8

Unit cell a=5.316 b=5.316 c=7.220 alpha=68.74 beta=68.74 gamma=63.20
Atoms (fractional coordinates):
O1 0.940 0.439 0.182
O2 0.564 0.564 0.811
Tc1 0.667 0.667 0.000
O3 0.059 0.559 0.822
O4 0.439 0.940 0.182
Cs1 0.872 0.872 0.372
O5 0.559 0.059 0.822
Cs2 0.125 0.125 0.632
Tc2 0.334 0.334 0.997



#ii
Cs2Tc2O5 | PBE | relaxed

SG = No. 123

Unit cell a=9.285 b=3.924 c=3.924 alpha=90.00 beta=90.00 gamma=90.00
Each line ends with the local moment (μB).
Atoms (fractional coordinates):
O1 0.258 0.500 0.000  0.00
O2 0.742 0.000 0.500  0.00
Tc1 0.719 0.500 0.500  0.13
Cs1 0.500 0.000 0.000  0.00
Tc2 0.281 0.500 0.500  0.13
O3 0.258 0.000 0.500  0.00
O4 0.742 0.500 0.000  0.00
Cs2 0.000 0.000 0.000  0.00
O5 0.500 0.500 0.500  0.07



So which one is most stable? That would be #i, about 10.4 kJ/mol of atoms below the next structure.



#i
CsSiOs | PBE | relaxed

SG = No. 216

Unit cell a=4.983 b=4.983 c=4.983 alpha=60.00 beta=60.00 gamma=60.00
Atoms (fractional coordinates):
Si1 0.750 0.750 0.750
Os1 0.250 0.250 0.250
Cs1 0.000 0.000 0.000



#ii
CsSiOs | PBE | relaxed

SG = No. 216

Unit cell a=4.664 b=4.664 c=4.664 alpha=60.00 beta=60.00 gamma=60.00
Atoms (fractional coordinates):
Si1 0.750 0.750 0.750
Cs1 0.250 0.250 0.250
Os1 0.000 0.000 0.000



So which one is most stable? That would be #ii, about 125.5 kJ/mol of atoms below the next structure.



#i
CsSmOs | PBE | relaxed

SG = No. 216

Unit cell a=4.913 b=4.913 c=4.913 alpha=60.00 beta=60.00 gamma=60.00
Atoms (fractional coordinates):
Sm1 0.250 0.250 0.250
Os1 0.750 0.750 0.750
Cs1 0.000 0.000 0.000



#ii
CsSmOs | PBE | relaxed

SG = No. 216

Unit cell a=5.034 b=5.034 c=5.034 alpha=60.00 beta=60.00 gamma=60.00
Atoms (fractional coordinates):
Cs1 0.250 0.250 0.250
Sm1 0.750 0.750 0.750
Os1 0.000 0.000 0.000



So which one is most stable? That would be #ii, about 82.0 kJ/mol of atoms below the next structure.



#i
CsSnOs | PBE | relaxed

SG = No. 216

Unit cell a=4.925 b=4.925 c=4.925 alpha=60.00 beta=60.00 gamma=60.00
Atoms (fractional coordinates):
Os1 0.000 0.000 0.000
Cs1 0.250 0.250 0.250
Sn1 0.750 0.750 0.750



#ii
CsSnOs | PBE | relaxed

SG = No. 216

Unit cell a=5.302 b=5.302 c=5.302 alpha=60.00 beta=60.00 gamma=60.00
Atoms (fractional coordinates):
Os1 0.250 0.250 0.250
Cs1 0.000 0.000 0.000
Sn1 0.750 0.750 0.750



So which one is most stable? That would be #i, about 108.9 kJ/mol of atoms below the next structure.



#i
CsSrOs | PBE | relaxed

SG = No. 216

Unit cell a=5.200 b=5.200 c=5.200 alpha=60.00 beta=60.00 gamma=60.00
Atoms (fractional coordinates):
Cs1 0.000 0.000 0.000
Sr1 0.750 0.750 0.750
Os1 0.250 0.250 0.250



#ii
CsSrOs | PBE | relaxed

SG = No. 216

Unit cell a=5.337 b=5.337 c=5.337 alpha=60.00 beta=60.00 gamma=60.00
Atoms (fractional coordinates):
Cs1 0.250 0.250 0.250
Sr1 0.750 0.750 0.750
Os1 0.000 0.000 0.000



So which one is most stable? That would be #ii, about 45.8 kJ/mol of atoms below the next structure.